# 1
# NaRuRh

Crystalline NaRuRh at its relaxed geometry (PBE, Alexandria).

POSCAR file:
```
NaRuRh
1.0
4.8945 0.0000 0.0000
0.0000 2.7436 0.0000
-1.9169 0.0000 7.1666
Na Ru Rh
2 2 2
Cartesian
-0.2722 0.6859 1.3057 Na
3.2498 2.0577 5.8609 Na
0.4444 2.0577 3.8881 Ru
2.5332 0.6859 3.2785 Ru
0.8220 0.6859 6.0467 Rh
2.1556 2.0577 1.1199 Rh
```

Calculated values
ΔH_f (0 K)	0.39	eV/atom
offset from the most stable computed form	102	meV/atom
ρ	7.83	Mg/m³
total moment	0.0	μB/cell

=====

# 2
# KPmY4Se8

Crystalline KPmY4Se8 at its relaxed geometry (PBE, Alexandria).

POSCAR file:
```
KPmY4Se8
1.0
4.2947 2.4796 7.1130
-4.2947 2.4796 7.1130
0.0000 -4.9591 7.1130
K Pm Y Se
1 1 4 8
Cartesian
0.0000 0.0000 0.0000 K
0.0000 0.0000 7.8434 Pm
0.0000 -2.5713 11.5369 Y
-2.2268 1.2857 11.5369 Y
0.0000 0.0000 15.9400 Y
2.2268 1.2856 11.5369 Y
0.0000 -2.2046 6.0131 Se
-1.9092 1.1023 6.0131 Se
0.0000 0.0000 2.9569 Se
-2.0389 -1.1772 9.8101 Se
1.9092 1.1023 6.0131 Se
0.0000 0.0000 13.1224 Se
2.0389 -1.1772 9.8101 Se
0.0000 2.3543 9.8101 Se
```

Calculated values
VASP energy	-6.014	eV per atom
ρ	4.28	Mg/m³
total moment	0.0	μB/cell

=====

# 3
# Tb12Ni6Ir

Crystalline Tb12Ni6Ir at its relaxed geometry (PBE, Alexandria).

POSCAR file:
```
Tb12Ni6Ir
1.0
6.0818 3.5113 3.8902
-6.0818 3.5113 3.8902
0.0000 -7.0226 3.8902
Tb Ni Ir
12 6 1
Cartesian
-5.1936 -1.3807 6.3535 Tb
-1.4011 -5.1881 5.3170 Tb
-2.3883 -0.2150 4.5408 Tb
-3.7925 3.8074 5.3170 Tb
1.3803 -1.9608 4.5408 Tb
-1.0080 -2.1758 7.1297 Tb
1.0080 2.1758 4.5408 Tb
-1.3803 1.9608 7.1297 Tb
3.7925 -3.8074 6.3535 Tb
2.3883 0.2150 7.1297 Tb
1.4011 5.1881 6.3535 Tb
5.1935 1.3807 5.3170 Tb
-1.1378 -2.7290 4.1356 Ni
-1.7945 2.3499 4.1356 Ni
-2.9323 -0.3791 7.5349 Ni
2.9323 0.3791 4.1356 Ni
1.7945 -2.3499 7.5349 Ni
1.1378 2.7290 7.5349 Ni
0.0000 0.0000 0.0000 Ir
```

Calculated values
ΔH_f (0 K)	-0.25	eV/atom
ρ	8.17	Mg/m³
total moment	0.0	μB/cell